Computed, not measured: Mo2PHN after structural relaxation at the GGA-PBE level of DFT.

Computed properties:
- DOS at the Fermi energy: 0.93 states/eV per atom
- Electronic total energy: -6.842 eV/atom
- Space group: P4/mmm (123)

Cell lengths 4.1247, 4.1247, 3.6397 Å; angles 90.00, 90.00, 90.00 degrees
Closest atoms and distances in Å follow each position.
Fractional positions:
Mo 0.0000 0.5000 0.0000  2 N 2.06
Mo 0.5000 0.0000 0.0000  2 N 2.06
P 0.0000 0.0000 0.5000  2 N 1.82
H 0.5000 0.5000 0.5000  8 Mo 2.75, 4 P 2.92
N 0.0000 0.0000 0.0000  2 P 1.82

Computed, not measured: PrMoHN2 after structural relaxation at the GGA-PBE level of DFT.

Computed properties:
- DOS at the Fermi energy: 0.35 states/eV per atom
- Electronic total energy: -7.859 eV/atom
- Space group: P4/mmm (123)

Cell lengths 4.0656, 4.0656, 3.6234 Å; angles 90.00, 90.00, 90.00 degrees
Closest atoms and distances in Å follow each position.
Fractional positions:
Pr 0.0000 0.0000 0.0000  8 N 2.72, 4 H 2.87
Mo 0.5000 0.5000 0.5000  2 H 1.81
H 0.5000 0.5000 0.0000  2 Mo 1.81
N 0.0000 0.5000 0.5000  2 Mo 2.03
N 0.5000 0.0000 0.5000  2 Mo 2.03

Computed, not measured: MoHSN2 after structural relaxation at the GGA-PBE level of DFT.

Computed properties:
- DOS at the Fermi energy: 0.54 states/eV per atom
- Electronic total energy: -6.019 eV/atom
- Space group: P4/mmm (123)

Cell lengths 3.8466, 3.8466, 5.0172 Å; angles 90.00, 90.00, 90.00 degrees
Closest atoms and distances in Å follow each position.
Fractional positions:
Mo 0.0000 0.0000 0.0000  4 N 1.92
H 0.5000 0.5000 0.5000  4 S 2.72
S 0.0000 0.0000 0.5000  2 Mo 2.51, 4 H 2.72
N 0.0000 0.5000 0.0000  2 Mo 1.92
N 0.5000 0.0000 0.0000  2 Mo 1.92

Computed, not measured: MoHSN2 after structural relaxation at the GGA-PBE level of DFT.

Computed properties:
- DOS at the Fermi energy: 0.32 states/eV per atom
- Electronic total energy: -5.473 eV/atom
- Space group: P4/mmm (123)

Cell lengths 3.8765, 3.8765, 2.9004 Å; angles 90.00, 90.00, 90.00 degrees
Closest atoms and distances in Å follow each position.
Fractional positions:
Mo 0.0000 0.0000 0.0000  8 N 2.42
H 0.5000 0.5000 0.5000  2 S 1.45
S 0.5000 0.5000 0.0000  2 H 1.45
N 0.0000 0.5000 0.5000  2 H 1.94
N 0.5000 0.0000 0.5000  2 H 1.94